# PBE-GGA Ac2IrPd, relaxed
data_Ac2IrPd
_chemical_formula_sum 'Ac2 Ir1 Pd1'
_space_group_name_H-M_alt 'P 1'
_space_group_IT_number 1
_space_group_name_Hall 'P 1'
_cell_length_a 5.304
_cell_length_b 5.304
_cell_length_c 5.304
_cell_angle_alpha 60.00
_cell_angle_beta 60.00
_cell_angle_gamma 60.00
loop_
_atom_site_label
_atom_site_fract_x
_atom_site_fract_y
_atom_site_fract_z
Ac1 0.250 0.250 0.250
Ac2 0.750 0.750 0.750
Pd1 0.000 0.000 0.000
Ir1 0.500 0.500 0.500
# Energy relative to the lowest polymorph listed for this composition   0.1209 eV/atom
# Total magnetic moment   0.00 μB per cell
# Energy of formation from the pure elements   -0.62 eV per atom
# Space group   No. 225